No. 1
An optimized crystal structure of LiSm5Zn4, computed with GGA-PBE.

a b c (Å): 3.6751 3.6751 18.2690
angles (deg): 90.00 90.00 90.00
Closest atoms and distances in Å follow each position.
Fractional positions:
Li1 0.0000 0.0000 0.0000  8 Sm 3.28
Sm1 0.5000 0.5000 0.1096  4 Zn 3.11, 4 Li 3.28
Sm2 0.5000 0.5000 0.3031  8 Zn 3.15-3.17
Sm3 0.5000 0.5000 0.5000  8 Zn 3.17
Sm4 0.5000 0.5000 0.6969  8 Zn 3.15-3.17
Sm5 0.5000 0.5000 0.8904  4 Zn 3.11, 4 Li 3.28
Zn1 0.0000 0.0000 0.2032  8 Sm 3.11-3.17
Zn2 0.0000 0.0000 0.4007  8 Sm 3.15-3.17
Zn3 0.0000 0.0000 0.5993  8 Sm 3.15-3.17
Zn4 0.0000 0.0000 0.7968  8 Sm 3.11-3.17

***

No. 2
An optimized crystal structure of Li7SmZn5, computed with GGA-PBE.

a b c (Å): 7.0630 7.0630 7.0630
angles (deg): 136.77 98.19 97.41
Closest atoms and distances in Å follow each position.
Fractional positions:
Li1 0.0000 0.0000 0.0000  4 Zn 2.79, 5 Li 2.80-3.04
Li2 0.0230 0.6711 0.3519  4 Li 2.74-2.98, 5 Zn 2.78-2.94
Li3 0.3059 0.3059 0.0000  6 Zn 2.82-2.93, 3 Li 2.85-2.94
Li4 0.3192 0.6711 0.6481  4 Li 2.74-2.98, 5 Zn 2.78-2.94
Li5 0.4476 0.1634 0.2841  5 Zn 2.67-2.81, 4 Li 2.89-2.94
Li6 0.8793 0.1634 0.7159  5 Zn 2.67-2.81, 4 Li 2.89-2.94
Li7 0.8876 0.3876 0.5000  4 Zn 2.68, 6 Li 2.80-2.98
Sm1 0.6481 0.6481 0.0000  6 Zn 3.19-3.41, 10 Li 3.19-3.43
Zn1 0.1676 0.1665 0.5034  3 Zn 2.59-2.66, 7 Li 2.67-2.88
Zn2 0.1676 0.6641 0.0011  3 Zn 2.59-2.66, 7 Li 2.67-2.88
Zn3 0.4508 0.9508 0.5000  4 Zn 2.66, 6 Li 2.81-2.94
Zn4 0.6631 0.1665 0.9989  3 Zn 2.59-2.66, 7 Li 2.67-2.88
Zn5 0.6631 0.6641 0.4966  3 Zn 2.59-2.66, 7 Li 2.67-2.88

***

No. 3
An optimized crystal structure of LiSm2Zn4, computed with GGA-PBE.

a b c (Å): 4.5795 4.5795 8.3828
angles (deg): 106.19 106.19 60.05
Closest atoms and distances in Å follow each position.
Fractional positions:
Li1 0.0000 0.0000 0.0000  6 Zn 2.73-2.75
Sm1 0.4279 0.4279 0.2856  10 Zn 2.97-3.26
Sm2 0.5721 0.5721 0.7144  10 Zn 2.97-3.26
Zn1 0.1748 0.1748 0.5244  3 Zn 2.67-2.68
Zn2 0.3042 0.3042 0.9109  3 Li 2.73-2.75, 1 Sm 2.97, 3 Zn 2.98-3.01
Zn3 0.6958 0.6958 0.0891  3 Li 2.73-2.75, 1 Sm 2.97, 3 Zn 2.98-3.01
Zn4 0.8252 0.8252 0.4756  3 Zn 2.67-2.68

***

No. 4
An optimized crystal structure of Li3SmZn8, computed with GGA-PBE.

a b c (Å): 9.2404 9.2404 9.2404
angles (deg): 32.86 32.86 32.86
Closest atoms and distances in Å follow each position.
Fractional positions:
Li1 0.0000 0.0000 0.0000  9 Zn 3.00-3.10, 1 Li 3.08, 3 Sm 3.29
Li2 0.1177 0.1177 0.1177  12 Zn 3.03-3.07, 4 Li 3.08-3.17
Li3 0.4882 0.4882 0.4882  12 Zn 2.98-3.09, 3 Li 3.17
Sm1 0.6164 0.6164 0.6164  12 Zn 3.08-3.19, 4 Li 3.29-3.36
Zn1 0.0521 0.0521 0.5499  6 Zn 2.60-2.74
Zn2 0.0521 0.5499 0.0521  6 Zn 2.60-2.74
Zn3 0.0589 0.5554 0.5554  6 Zn 2.60-2.67
Zn4 0.3056 0.3056 0.3056  6 Zn 2.67-2.74
Zn5 0.5499 0.0521 0.0521  6 Zn 2.60-2.74
Zn6 0.5554 0.0589 0.5554  6 Zn 2.60-2.67
Zn7 0.5554 0.5554 0.0589  6 Zn 2.60-2.67
Zn8 0.8036 0.8036 0.8036  6 Zn 2.60-2.61

***

No. 5
An optimized crystal structure of LiSmZn4, computed with GGA-PBE.

a b c (Å): 5.3685 5.3685 5.3685
angles (deg): 60.00 60.00 60.00
Closest atoms and distances in Å follow each position.
Fractional positions:
Li1 0.0000 0.0000 0.0000  12 Zn 3.15, 4 Sm 3.29
Sm1 0.7500 0.7500 0.7500  12 Zn 3.15, 4 Li 3.29
Zn1 0.3746 0.3746 0.3746  6 Zn 2.68-2.69
Zn2 0.3746 0.3746 0.8763  6 Zn 2.68-2.69
Zn3 0.3746 0.8763 0.3746  6 Zn 2.68-2.69
Zn4 0.8763 0.3746 0.3746  6 Zn 2.68-2.69

Summary:
ΔE to the lowest computed polymorph: 0.0416 eV/atom

***

No. 6
An optimized crystal structure of LiSm2Zn7, computed with GGA-PBE.

a b c (Å): 4.1623 4.1623 11.0041
angles (deg): 90.00 90.00 90.00
Closest atoms and distances in Å follow each position.
Fractional positions:
Li1 0.0000 0.0000 0.0000  4 Zn 2.60
Sm1 0.0000 0.5000 0.7396  14 Zn 3.17-3.54, 2 Li 3.54
Sm2 0.5000 0.0000 0.2604  14 Zn 3.17-3.54, 2 Li 3.54
Zn1 0.0000 0.0000 0.5000  4 Zn 2.55
Zn2 0.0000 0.5000 0.1410  3 Zn 2.48-2.60, 2 Li 2.60
Zn3 0.0000 0.5000 0.3665  5 Zn 2.48-2.55
Zn4 0.5000 0.0000 0.6335  5 Zn 2.48-2.55
Zn5 0.5000 0.0000 0.8590  3 Zn 2.48-2.60, 2 Li 2.60
Zn6 0.5000 0.5000 0.0000  4 Zn 2.60
Zn7 0.5000 0.5000 0.5000  4 Zn 2.55

***

No. 7
An optimized crystal structure of LiSmZn2, computed with GGA-PBE.

a b c (Å): 3.3549 3.3549 7.0016
angles (deg): 90.00 90.00 90.00
Closest atoms and distances in Å follow each position.
Fractional positions:
Li1 0.0000 0.0000 0.0000  8 Zn 2.76
Sm1 0.0000 0.0000 0.5000  8 Zn 3.17, 4 Sm 3.35, 2 Li 3.50
Zn1 0.5000 0.5000 0.2002  4 Li 2.76, 1 Zn 2.80
Zn2 0.5000 0.5000 0.7998  4 Li 2.76, 1 Zn 2.80

Summary:
ΔE to the lowest computed polymorph: 0.0640 eV/atom

***

No. 8
An optimized crystal structure of Li2SmZn6, computed with GGA-PBE.

a b c (Å): 7.8181 7.8181 3.1345
angles (deg): 90.00 90.00 120.00
Closest atoms and distances in Å follow each position.
Fractional positions:
Li1 0.3333 0.6667 0.0000  12 Zn 3.01, 2 Li 3.13
Li2 0.6667 0.3333 0.0000  12 Zn 3.01, 2 Li 3.13
Sm1 0.0000 0.0000 0.0000  12 Zn 3.10, 2 Sm 3.13
Zn1 0.0000 0.3425 0.5000  3 Zn 2.46-2.68
Zn2 0.0000 0.6575 0.5000  3 Zn 2.46-2.68
Zn3 0.3425 0.0000 0.5000  3 Zn 2.46-2.68
Zn4 0.3425 0.3425 0.5000  3 Zn 2.46-2.68
Zn5 0.6575 0.0000 0.5000  3 Zn 2.46-2.68
Zn6 0.6575 0.6575 0.5000  3 Zn 2.46-2.68

Summary:
ΔE to the lowest computed polymorph: 0.0098 eV/atom

***

Which ΔH_f (0 K) belongs to each record? In order, -5.5 -3.8 -7.1 -4.8 -5.5 -6.5 -4.3 -3.5 kcal/mol of atoms.